The following is a DFT calculation (PBE) of a geometry-optimized Pm4PrY10 structure.

Structure (extended XYZ):
```
15
Lattice="-4.970 4.970 5.420 4.970 -4.970 5.420 4.970 4.970 -5.420" Properties=species:S:1:pos:R:3 pbc="T T T"
Pm 7.154 0.497 0.000
Pm 0.497 2.785 0.000
Pm 4.473 2.185 5.420
Pm -2.185 4.473 5.420
Pr 0.000 0.000 5.420
Y 3.734 2.825 -1.838
Y 2.145 -1.235 3.582
Y 4.970 0.000 2.710
Y 3.734 2.825 1.838
Y 2.825 6.205 -1.838
Y 2.145 -1.235 7.258
Y 1.235 2.145 3.582
Y 0.000 4.970 2.710
Y 2.825 6.205 1.838
Y 1.235 2.145 7.258
```

SG = I4/m
D(E_F) = 28.4 states/eV/f.u.
electronic total energy = -81.54 eV/cell
energy of formation = 6.88 eV per formula unit